Record 1
## La2Pr7Sm2 (PBE)

Data for a geometry-optimized La2Pr7Sm2 structure.

Results
DOS(E_F)   1.458 states/eV/atom

Cell: 8.323 8.323 6.253 Å, 105.59 105.59 90.02°
Positions (direct):
La 0.218 0.782 0.000
La 0.782 0.218 0.000
Pr 0.000 0.000 0.500
Pr 0.052 0.591 0.328
Pr 0.235 0.235 0.095
Pr 0.409 0.948 0.672
Pr 0.591 0.052 0.328
Pr 0.765 0.765 0.905
Pr 0.948 0.409 0.672
Sm 0.418 0.418 0.695
Sm 0.582 0.582 0.305


Record 2
## LaPr12Sm7 (PBE)

Data for a geometry-optimized LaPr12Sm7 structure.

Results
DOS(E_F)   1.351 states/eV/atom

Cell: 10.171 10.171 10.171 Å, 109.47 109.47 109.47°
Positions (direct):
La 0.000 0.000 0.000
Pr 0.000 0.252 0.748
Pr 0.000 0.748 0.252
Pr 0.252 0.000 0.748
Pr 0.252 0.252 0.505
Pr 0.252 0.505 0.252
Pr 0.252 0.748 0.000
Pr 0.495 0.748 0.748
Pr 0.505 0.252 0.252
Pr 0.748 0.000 0.252
Pr 0.748 0.252 0.000
Pr 0.748 0.495 0.748
Pr 0.748 0.748 0.495
Sm 0.000 0.000 0.500
Sm 0.000 0.500 0.000
Sm 0.000 0.500 0.500
Sm 0.500 0.000 0.000
Sm 0.500 0.000 0.500
Sm 0.500 0.500 0.000
Sm 0.500 0.500 0.500


Record 3
## LaPr5Sm (PBE)

Data for a geometry-optimized LaPr5Sm structure.

Results
DOS(E_F)   1.926 states/eV/atom

Cell: 5.929 8.953 12.162 Å, 90.00 90.00 90.00°
Positions (direct):
La 0.000 0.000 0.000
La 0.500 0.500 0.500
Pr 0.000 0.000 0.248
Pr 0.000 0.000 0.752
Pr 0.000 0.319 0.500
Pr 0.000 0.500 0.000
Pr 0.000 0.681 0.500
Pr 0.500 0.000 0.500
Pr 0.500 0.181 0.000
Pr 0.500 0.500 0.252
Pr 0.500 0.500 0.748
Pr 0.500 0.819 0.000
Sm 0.000 0.000 0.500
Sm 0.500 0.500 0.000


no.,E (eV per cell)
1,-51.28
2,-83.32
3,-54.27